This record from the Alexandria database describes an optimized crystal structure of Co2O. The functional is PBE+U.

## Properties
total DFT energy (no corrections) = -5.251 eV/atom
SG = No. 8
E above lowest polymorph = 0.0000 eV/atom

Lattice parameters (Å, degrees): 5.248 5.248 5.683 122.49 122.49 33.16
Atoms (fractional coordinates):
Co 0.000 0.000 0.000
Co 0.221 0.221 0.928
Co 0.503 0.503 0.414
Co 0.729 0.729 0.350
O 0.764 0.764 0.754
O 0.969 0.969 0.595